First-principles (PBE) data for a geometry-optimized Li3HoSc2Te6 structure, as listed in Alexandria via LeMat-Bulk.

Properties
Calculated volume ... 323 Å³/f.u.
Uncorrected formation energy ... -1.211 eV per atom
SG ... C2/m, No. 12

a = 7.306 Å, b = 7.306 Å, c = 7.410 Å
α = 99.48°, β = 99.48°, γ = 120.01°
Fractional coordinates of all 12 atoms:
1 Li 0.000 0.000 0.000
2 Li 0.337 0.663 0.000
3 Li 0.663 0.337 0.000
4 Ho 0.500 0.500 0.500
5 Sc 0.167 0.833 0.500
6 Sc 0.833 0.167 0.500
7 Te 0.073 0.417 0.253
8 Te 0.238 0.238 0.748
9 Te 0.417 0.073 0.253
10 Te 0.583 0.927 0.747
11 Te 0.762 0.762 0.252
12 Te 0.927 0.583 0.747


First-principles (PBE) data for a geometry-optimized Tb3SnGe2 structure, as listed in Alexandria via LeMat-Bulk.

Properties
Calculated volume ... 147 Å³/f.u.
Fermi-level density of states ... 7.3 states/eV/cell
Energy relative to the elements ... -0.63 eV per atom
Polymorph energy (0 for the lowest one) ... 2.13 kcal/mol of atoms
SG ... Cmmm, No. 65

a = 4.404 Å, b = 15.909 Å, c = 4.206 Å
α = 90.00°, β = 90.00°, γ = 90.00°
Fractional coordinates of all 12 atoms:
1 Tb 0.000 0.000 0.000
2 Tb 0.000 0.171 0.500
3 Tb 0.000 0.829 0.500
4 Tb 0.500 0.329 0.500
5 Tb 0.500 0.500 0.000
6 Tb 0.500 0.671 0.500
7 Sn 0.000 0.500 0.500
8 Sn 0.500 0.000 0.500
9 Ge 0.000 0.346 0.000
10 Ge 0.000 0.654 0.000
11 Ge 0.500 0.154 0.000
12 Ge 0.500 0.846 0.000